*A*
First-principles (GGA-PBE) data for a geometry-optimized BaSr2Ru structure, as listed in Alexandria.

Results
As for the crystal system: orthorhombic. As for the space-group type: Immm (71).

abc: 7.818 7.818 7.818
angles: 151.83 135.36 53.62
Positions (direct):
Ba (0.000, 0.000, 0.000)
Sr (0.332, 0.832, 0.500)
Sr (0.668, 0.168, 0.500)
Ru (0.500, 0.500, 0.000)


*B*
First-principles (GGA-PBE) data for a geometry-optimized BaSr2Ru structure, as listed in Alexandria.

Results
As for the crystal system: orthorhombic. As for the space-group type: Imm2 (44).

abc: 8.373 8.373 8.373
angles: 154.18 141.00 47.37
Positions (direct):
Ba (0.000, 0.000, 0.000)
Sr (0.315, 0.315, 0.000)
Sr (0.659, 0.159, 0.500)
Ru (0.158, 0.658, 0.500)


Which of them is the most stable, and which is the least stable? *B* and *A*, in that order.


*A*
First-principles (GGA-PBE) data for a geometry-optimized BaSr2Ru structure, as listed in Alexandria.

Results
As for the crystal system: tetragonal. As for the space-group type: P4/mmm (123).

abc: 5.123 5.123 5.156
angles: 90.00 90.00 90.00
Positions (direct):
Ba (0.000, 0.000, 0.000)
Sr (0.000, 0.500, 0.500)
Sr (0.500, 0.000, 0.500)
Ru (0.500, 0.500, 0.000)


*B*
First-principles (GGA-PBE) data for a geometry-optimized BaSr2Ru structure, as listed in Alexandria.

Results
As for the crystal system: trigonal. As for the space-group type: R-3m (166).

abc: 11.651 11.651 11.651
angles: 20.12 20.12 20.12
Positions (direct):
Ba (0.000, 0.000, 0.000)
Sr (0.222, 0.222, 0.222)
Sr (0.778, 0.778, 0.778)
Ru (0.500, 0.500, 0.500)


*C*
First-principles (GGA-PBE) data for a geometry-optimized BaSr2Ru structure, as listed in Alexandria.

Results
As for the crystal system: cubic. As for the space-group type: Fm-3m (225).

abc: 5.703 5.703 5.703
angles: 60.00 60.00 60.00
Positions (direct):
Ba (0.000, 0.000, 0.000)
Sr (0.250, 0.250, 0.250)
Sr (0.750, 0.750, 0.750)
Ru (0.500, 0.500, 0.500)


Which of them is the most stable, and which is the least stable? *B* and *A*, in that order.


*A*
First-principles (GGA-PBE) data for a geometry-optimized BaSr2Ru structure, as listed in Alexandria.

Results
As for the crystal system: tetragonal. As for the space-group type: I4_1/amd (141).

abc: 8.431 8.431 8.431
angles: 120.07 120.07 89.88
Positions (direct):
Ba (0.375, 0.625, 0.750)
Ba (0.625, 0.375, 0.250)
Sr (0.000, 0.000, 0.000)
Sr (0.000, 0.000, 0.500)
Sr (0.000, 0.500, 0.000)
Sr (0.500, 0.000, 0.500)
Ru (0.125, 0.875, 0.250)
Ru (0.875, 0.125, 0.750)


*B*
First-principles (GGA-PBE) data for a geometry-optimized BaSr2Ru structure, as listed in Alexandria.

Results
As for the crystal system: tetragonal. As for the space-group type: I-4m2 (119).

abc: 5.858 5.858 5.858
angles: 123.50 123.50 84.03
Positions (direct):
Ba (0.000, 0.000, 0.000)
Sr (0.500, 0.500, 0.000)
Sr (0.750, 0.250, 0.500)
Ru (0.250, 0.750, 0.500)


*C*
First-principles (GGA-PBE) data for a geometry-optimized BaSr2Ru structure, as listed in Alexandria.

Results
As for the crystal system: monoclinic. As for the space-group type: P2/m (10).

abc: 3.768 3.797 10.664
angles: 90.00 90.05 90.00
Positions (direct):
Ba (0.000, 0.000, 0.000)
Sr (0.500, 0.500, 0.339)
Sr (0.500, 0.500, 0.661)
Ru (0.000, 0.000, 0.500)


Which of them is the most stable, and which is the least stable? *C* and *A*, in that order.


*A*
First-principles (GGA-PBE) data for a geometry-optimized BaSr2Ru structure, as listed in Alexandria.

Results
As for the crystal system: tetragonal. As for the space-group type: P4mm (99).

abc: 3.795 3.795 10.698
angles: 90.00 90.00 90.00
Positions (direct):
Ba (0.000, 0.000, 0.000)
Sr (0.000, 0.000, 0.334)
Sr (0.500, 0.500, 0.656)
Ru (0.500, 0.500, 0.173)


*B*
First-principles (GGA-PBE) data for a geometry-optimized BaSr2Ru structure, as listed in Alexandria.

Results
As for the crystal system: monoclinic. As for the space-group type: C2/m (12).

abc: 6.808 6.808 3.879
angles: 103.28 103.28 118.24
Positions (direct):
Ba (0.000, 0.000, 0.000)
Sr (0.000, 0.500, 0.500)
Sr (0.500, 0.000, 0.500)
Ru (0.500, 0.500, 0.000)


Which of them is the most stable, and which is the least stable? *A* and *B*, in that order.


*A*
First-principles (GGA-PBE) data for a geometry-optimized BaSrRu3 structure, as listed in Alexandria.

Results
As for the crystal system: cubic. As for the space-group type: Pm-3m (221).

abc: 5.135 5.135 5.135
angles: 90.00 90.00 90.00
Positions (direct):
Ba (0.000, 0.000, 0.000)
Sr (0.500, 0.500, 0.500)
Ru (0.000, 0.500, 0.500)
Ru (0.500, 0.000, 0.500)
Ru (0.500, 0.500, 0.000)


*B*
First-principles (GGA-PBE) data for a geometry-optimized BaSrRu3 structure, as listed in Alexandria.

Results
As for the crystal system: cubic. As for the space-group type: Pm-3m (221).

abc: 5.152 5.152 5.152
angles: 90.00 90.00 90.00
Positions (direct):
Ba (0.000, 0.000, 0.000)
Sr (0.500, 0.500, 0.500)
Ru (0.000, 0.000, 0.500)
Ru (0.000, 0.500, 0.000)
Ru (0.500, 0.000, 0.000)


Which of them is the most stable, and which is the least stable? *A* and *B*, in that order.


*A*
First-principles (GGA-PBE) data for a geometry-optimized BaSr3Ru structure, as listed in Alexandria.

Results
As for the crystal system: cubic. As for the space-group type: Pm-3m (221).

abc: 5.985 5.985 5.985
angles: 90.00 90.00 90.00
Positions (direct):
Ba (0.000, 0.000, 0.000)
Sr (0.000, 0.500, 0.500)
Sr (0.500, 0.000, 0.500)
Sr (0.500, 0.500, 0.000)
Ru (0.500, 0.500, 0.500)


*B*
First-principles (GGA-PBE) data for a geometry-optimized BaSr3Ru structure, as listed in Alexandria.

Results
As for the crystal system: cubic. As for the space-group type: Pm-3m (221).

abc: 6.089 6.089 6.089
angles: 90.00 90.00 90.00
Positions (direct):
Ba (0.000, 0.000, 0.000)
Sr (0.000, 0.000, 0.500)
Sr (0.000, 0.500, 0.000)
Sr (0.500, 0.000, 0.000)
Ru (0.500, 0.500, 0.500)


Which of them is the most stable, and which is the least stable? *A* and *B*, in that order.


*A*
First-principles (GGA-PBE) data for a geometry-optimized BaTaRu2 structure, as listed in Alexandria.

Results
As for the crystal system: monoclinic. As for the space-group type: Cm (8).

abc: 5.108 5.108 6.157
angles: 104.25 104.25 38.87
Positions (direct):
Ba (0.000, 0.000, 0.000)
Ta (0.806, 0.806, 0.405)
Ru (0.221, 0.221, 0.630)
Ru (0.506, 0.506, 0.528)


*B*
First-principles (GGA-PBE) data for a geometry-optimized BaTaRu2 structure, as listed in Alexandria.

Results
As for the crystal system: tetragonal. As for the space-group type: I-4m2 (119).

abc: 5.879 5.879 5.879
angles: 140.97 140.97 56.38
Positions (direct):
Ba (0.000, 0.000, 0.000)
Ta (0.750, 0.250, 0.500)
Ru (0.250, 0.750, 0.500)
Ru (0.500, 0.500, 0.000)


*C*
First-principles (GGA-PBE) data for a geometry-optimized BaTaRu2 structure, as listed in Alexandria.

Results
As for the crystal system: tetragonal. As for the space-group type: P4mm (99).

abc: 2.948 2.948 9.448
angles: 90.00 90.00 90.00
Positions (direct):
Ba (0.000, 0.000, 0.000)
Ta (0.500, 0.500, 0.661)
Ru (0.000, 0.000, 0.451)
Ru (0.500, 0.500, 0.286)


Which of them is the most stable, and which is the least stable? *A* and *B*, in that order.


*A*
First-principles (GGA-PBE) data for a geometry-optimized BaTaRu2 structure, as listed in Alexandria.

Results
As for the crystal system: orthorhombic. As for the space-group type: Pmmm (47).

abc: 3.188 4.653 5.505
angles: 90.00 90.00 90.00
Positions (direct):
Ba (0.000, 0.000, 0.000)
Ta (0.500, 0.500, 0.500)
Ru (0.000, 0.000, 0.500)
Ru (0.500, 0.500, 0.000)


*B*
First-principles (GGA-PBE) data for a geometry-optimized BaTaRu2 structure, as listed in Alexandria.

Results
As for the crystal system: tetragonal. As for the space-group type: I-42d (122).

abc: 6.235 6.235 6.235
angles: 106.62 106.62 115.35
Positions (direct):
Ba (0.000, 0.000, 0.000)
Ba (0.750, 0.250, 0.500)
Ta (0.250, 0.750, 0.500)
Ta (0.500, 0.500, 0.000)
Ru (0.185, 0.625, 0.060)
Ru (0.375, 0.435, 0.560)
Ru (0.565, 0.125, 0.940)
Ru (0.875, 0.815, 0.440)


*C*
First-principles (GGA-PBE) data for a geometry-optimized BaTaRu2 structure, as listed in Alexandria.

Results
As for the crystal system: monoclinic. As for the space-group type: Pm (6).

abc: 3.366 4.212 6.794
angles: 90.00 103.23 90.00
Positions (direct):
Ba (0.000, 0.000, 0.000)
Ta (0.240, 0.500, 0.544)
Ru (0.612, 0.500, 0.267)
Ru (0.731, 0.000, 0.528)


*D*
First-principles (GGA-PBE) data for a geometry-optimized BaTaRu2 structure, as listed in Alexandria.

Results
As for the crystal system: monoclinic. As for the space-group type: P2/m (10).

abc: 3.219 3.235 7.837
angles: 90.00 90.90 90.00
Positions (direct):
Ba (0.000, 0.000, 0.000)
Ta (0.000, 0.000, 0.500)
Ru (0.494, 0.500, 0.314)
Ru (0.506, 0.500, 0.686)


Which of them is the most stable, and which is the least stable? *D* and *A*, in that order.


*A*
First-principles (GGA-PBE) data for a geometry-optimized BaTaRu2 structure, as listed in Alexandria.

Results
As for the crystal system: trigonal. As for the space-group type: R-3m (166).

abc: 9.202 9.202 9.202
angles: 20.37 20.37 20.37
Positions (direct):
Ba (0.000, 0.000, 0.000)
Ta (0.500, 0.500, 0.500)
Ru (0.234, 0.234, 0.234)
Ru (0.766, 0.766, 0.766)


*B*
First-principles (GGA-PBE) data for a geometry-optimized BaTaRu2 structure, as listed in Alexandria.

Results
As for the crystal system: orthorhombic. As for the space-group type: Pmm2 (25).

abc: 3.073 3.752 7.796
angles: 90.00 90.00 90.00
Positions (direct):
Ba (0.000, 0.000, 0.000)
Ta (0.500, 0.500, 0.622)
Ru (0.000, 0.000, 0.477)
Ru (0.500, 0.500, 0.313)


Which of them is the most stable, and which is the least stable? *A* and *B*, in that order.


*A*
First-principles (GGA-PBE) data for a geometry-optimized BaTaRu3 structure, as listed in Alexandria.

Results
As for the crystal system: cubic. As for the space-group type: Pm-3m (221).

abc: 4.846 4.846 4.846
angles: 90.00 90.00 90.00
Positions (direct):
Ba (0.000, 0.000, 0.000)
Ta (0.500, 0.500, 0.500)
Ru (0.000, 0.000, 0.500)
Ru (0.000, 0.500, 0.000)
Ru (0.500, 0.000, 0.000)


*B*
First-principles (GGA-PBE) data for a geometry-optimized BaTaRu3 structure, as listed in Alexandria.

Results
As for the crystal system: cubic. As for the space-group type: Pm-3m (221).

abc: 4.890 4.890 4.890
angles: 90.00 90.00 90.00
Positions (direct):
Ba (0.000, 0.000, 0.000)
Ta (0.500, 0.500, 0.500)
Ru (0.000, 0.500, 0.500)
Ru (0.500, 0.000, 0.500)
Ru (0.500, 0.500, 0.000)


Which of them is the most stable, and which is the least stable? *B* and *A*, in that order.


*A*
First-principles (GGA-PBE) data for a geometry-optimized Ba2TcRu structure, as listed in Alexandria.

Results
As for the crystal system: monoclinic. As for the space-group type: Cm (8).

abc: 4.202 4.202 9.535
angles: 101.21 101.21 59.95
Positions (direct):
Ba (0.000, 0.000, 0.000)
Ba (0.157, 0.157, 0.531)
Tc (0.750, 0.750, 0.281)
Ru (0.407, 0.407, 0.248)


*B*
First-principles (GGA-PBE) data for a geometry-optimized Ba2TcRu structure, as listed in Alexandria.

Results
As for the crystal system: orthorhombic. As for the space-group type: Immm (71).

abc: 5.760 5.760 5.760
angles: 130.27 129.87 73.30
Positions (direct):
Ba (0.249, 0.249, 0.000)
Ba (0.751, 0.751, 0.000)
Tc (0.500, 0.000, 0.500)
Ru (0.000, 0.500, 0.500)


Which of them is the most stable, and which is the least stable? *A* and *B*, in that order.


*A*
First-principles (GGA-PBE) data for a geometry-optimized Ba2TcRu structure, as listed in Alexandria.

Results
As for the crystal system: cubic. As for the space-group type: Fm-3m (225).

abc: 5.393 5.393 5.393
angles: 60.00 60.00 60.00
Positions (direct):
Ba (0.250, 0.250, 0.250)
Ba (0.750, 0.750, 0.750)
Tc (0.000, 0.000, 0.000)
Ru (0.500, 0.500, 0.500)


*B*
First-principles (GGA-PBE) data for a geometry-optimized Ba2TcRu structure, as listed in Alexandria.

Results
As for the crystal system: orthorhombic. As for the space-group type: Pmmm (47).

abc: 3.718 4.304 6.953
angles: 90.00 90.00 90.00
Positions (direct):
Ba (0.000, 0.000, 0.242)
Ba (0.000, 0.000, 0.758)
Tc (0.500, 0.500, 0.500)
Ru (0.500, 0.500, 0.000)


Which of them is the most stable, and which is the least stable? *B* and *A*, in that order.